*w*
Entry from Alexandria via LeMat-Bulk: an optimized crystal structure of LaPr5Dy3 (PBE).

As for the theoretical density: 6.79 Mg/m³. The density of states at the Fermi level comes out at 27.31 states/eV per cell. The space group is C2/c, No. 15.

POSCAR file:
```
LaPr5Dy3
1.0
9.441 -3.298 0.000
9.441 3.298 0.000
-4.630 0.000 10.447
La Pr Dy
2 10 6
direct
0.141 0.859 0.750
0.859 0.141 0.250
0.005 0.657 0.136
0.136 0.528 0.791
0.343 0.995 0.364
0.399 0.601 0.250
0.472 0.864 0.709
0.528 0.136 0.291
0.601 0.399 0.750
0.657 0.005 0.636
0.864 0.472 0.209
0.995 0.343 0.864
0.000 0.000 0.000
0.000 0.000 0.500
0.138 0.539 0.486
0.461 0.862 0.014
0.539 0.138 0.986
0.862 0.461 0.514
```

***

*x*
Entry from Alexandria via LeMat-Bulk: an optimized crystal structure of LaPr5Dy3 (PBE).

As for the theoretical density: 6.28 Mg/m³. The density of states at the Fermi level comes out at 28.95 states/eV per cell. The space group is C2/m, No. 12.

POSCAR file:
```
LaPr5Dy3
1.0
7.733 -5.912 0.000
7.733 5.912 0.000
-6.373 0.000 7.697
La Pr Dy
2 10 6
direct
0.249 0.249 0.419
0.751 0.751 0.581
0.111 0.610 0.263
0.228 0.228 0.055
0.254 0.746 0.000
0.271 0.271 0.769
0.390 0.889 0.737
0.610 0.111 0.263
0.729 0.729 0.231
0.746 0.254 0.000
0.772 0.772 0.945
0.889 0.390 0.737
0.000 0.000 0.000
0.012 0.012 0.351
0.495 0.495 0.177
0.500 0.500 0.500
0.505 0.505 0.823
0.988 0.988 0.649
```

***

Sorted by energy, starting with the most stable: *w*, *x*.

***

*w*
Entry from Alexandria via LeMat-Bulk: an optimized crystal structure of La3Pr2Dy2 (PBE).

As for the theoretical density: 6.88 Mg/m³. The density of states at the Fermi level comes out at 10.06 states/eV per cell. The space group is Immm, No. 71.

POSCAR file:
```
La3Pr2Dy2
1.0
-1.814 2.870 11.853
1.814 -2.870 11.853
1.814 2.870 -11.853
La Pr Dy
3 2 2
direct
0.000 0.000 0.000
0.277 0.777 0.500
0.723 0.223 0.500
0.421 0.421 0.000
0.579 0.579 0.000
0.144 0.144 0.000
0.856 0.856 0.000
```

***

*x*
Entry from Alexandria via LeMat-Bulk: an optimized crystal structure of La3Pr2Dy2 (PBE).

As for the theoretical density: 6.91 Mg/m³. The density of states at the Fermi level comes out at 11.21 states/eV per cell. The space group is P-1, No. 2.

POSCAR file:
```
La3Pr2Dy2
1.0
3.686 0.000 0.000
1.841 6.097 0.000
0.012 1.166 10.951
La Pr Dy
3 2 2
direct
0.000 0.000 0.000
0.144 0.713 0.570
0.856 0.287 0.430
0.285 0.431 0.144
0.715 0.569 0.856
0.429 0.143 0.714
0.571 0.857 0.286
```

***

Sorted by energy, starting with the most stable: *x*, *w*.

***

*w*
Entry from Alexandria via LeMat-Bulk: an optimized crystal structure of La4Pr3Dy (PBE).

As for the theoretical density: 6.53 Mg/m³. The density of states at the Fermi level comes out at 12.59 states/eV per cell. The space group is C2/m, No. 12.

POSCAR file:
```
La4Pr3Dy
1.0
12.955 -1.777 0.000
12.955 1.777 0.000
-0.433 0.000 6.307
La Pr Dy
4 3 1
direct
0.105 0.105 0.229
0.280 0.280 0.756
0.720 0.720 0.244
0.895 0.895 0.771
0.000 0.000 0.500
0.144 0.144 0.740
0.856 0.856 0.260
0.500 0.500 0.000
```

***

*x*
Entry from Alexandria via LeMat-Bulk: an optimized crystal structure of La4Pr3Dy (PBE).

As for the theoretical density: 6.58 Mg/m³. The density of states at the Fermi level comes out at 22.06 states/eV per cell. The space group is Pmn2_1, No. 31.

POSCAR file:
```
La4Pr3Dy
1.0
11.986 0.000 0.000
0.000 6.454 0.000
0.000 0.000 7.445
La Pr Dy
8 6 2
direct
0.000 0.167 0.000
0.000 0.668 0.750
0.248 0.998 0.249
0.252 0.002 0.749
0.500 0.332 0.250
0.500 0.833 0.500
0.748 0.002 0.749
0.752 0.998 0.249
0.000 0.166 0.497
0.250 0.499 0.500
0.250 0.501 0.000
0.500 0.834 0.997
0.750 0.499 0.500
0.750 0.501 0.000
0.000 0.666 0.250
0.500 0.334 0.750
```

***

Sorted by energy, starting with the most stable: *x*, *w*.

***

*w*
Entry from Alexandria via LeMat-Bulk: an optimized crystal structure of La2PrDy7 (PBE).

As for the theoretical density: 7.82 Mg/m³. The density of states at the Fermi level comes out at 14.28 states/eV per cell. The space group is P-1, No. 2.

POSCAR file:
```
La2PrDy7
1.0
6.225 0.000 0.000
2.046 6.911 0.000
2.079 1.214 7.681
La Pr Dy
2 1 7
direct
0.200 0.300 0.101
0.800 0.700 0.899
0.000 0.000 0.500
0.000 0.500 0.500
0.199 0.800 0.102
0.399 0.102 0.697
0.400 0.600 0.698
0.600 0.400 0.302
0.601 0.898 0.303
0.801 0.200 0.898
```

***

*x*
Entry from Alexandria via LeMat-Bulk: an optimized crystal structure of La2PrDy7 (PBE).

As for the theoretical density: 7.62 Mg/m³. The density of states at the Fermi level comes out at 18.67 states/eV per cell. The space group is Cmmm, No. 65.

POSCAR file:
```
La2PrDy7
1.0
3.306 -14.580 0.000
3.306 14.580 0.000
0.000 0.000 3.518
La Pr Dy
2 1 7
direct
0.206 0.794 0.000
0.794 0.206 0.000
0.500 0.500 0.500
0.000 0.000 0.000
0.155 0.352 0.000
0.315 0.685 0.500
0.352 0.155 0.000
0.648 0.845 0.000
0.685 0.315 0.500
0.845 0.648 0.000
```

***

Sorted by energy, starting with the most stable: *w*, *x*.

***

*w*
Entry from Alexandria via LeMat-Bulk: an optimized crystal structure of La2Pr8Dy3 (PBE).

As for the theoretical density: 6.65 Mg/m³. The density of states at the Fermi level comes out at 19.99 states/eV per cell. The space group is C2/m, No. 12.

POSCAR file:
```
La2Pr8Dy3
1.0
10.564 -3.882 0.000
10.564 3.882 0.000
-0.004 0.000 5.764
La Pr Dy
2 8 3
direct
0.241 0.241 0.498
0.759 0.759 0.502
0.129 0.129 0.999
0.193 0.602 0.500
0.332 0.332 0.999
0.398 0.807 0.500
0.602 0.193 0.500
0.668 0.668 0.001
0.807 0.398 0.500
0.871 0.871 0.001
0.000 0.000 0.500
0.284 0.716 0.000
0.716 0.284 0.000
```

***

*x*
Entry from Alexandria via LeMat-Bulk: an optimized crystal structure of La2Pr8Dy3 (PBE).

As for the theoretical density: 6.80 Mg/m³. The density of states at the Fermi level comes out at 21.53 states/eV per cell. The space group is C2/m, No. 12.

POSCAR file:
```
La2Pr8Dy3
1.0
6.783 -5.994 0.000
6.783 5.994 0.000
-2.525 0.000 5.684
La Pr Dy
2 8 3
direct
0.191 0.191 0.345
0.809 0.809 0.655
0.084 0.084 0.765
0.097 0.578 0.341
0.362 0.362 0.899
0.422 0.903 0.659
0.578 0.097 0.341
0.638 0.638 0.101
0.903 0.422 0.659
0.916 0.916 0.235
0.239 0.761 0.000
0.500 0.500 0.500
0.761 0.239 0.000
```

***

Sorted by energy, starting with the most stable: *x*, *w*.

***

*w*
Entry from Alexandria via LeMat-Bulk: an optimized crystal structure of La4PrDy7 (PBE).

As for the theoretical density: 7.23 Mg/m³. The density of states at the Fermi level comes out at 19.95 states/eV per cell. The space group is C2/m, No. 12.

POSCAR file:
```
La4PrDy7
1.0
6.109 -2.998 0.000
6.109 2.998 0.000
-6.088 0.000 11.502
La Pr Dy
4 1 7
direct
0.134 0.134 0.277
0.279 0.279 0.835
0.721 0.721 0.165
0.866 0.866 0.723
0.500 0.500 0.500
0.000 0.000 0.500
0.133 0.133 0.995
0.289 0.289 0.576
0.430 0.430 0.186
0.570 0.570 0.814
0.711 0.711 0.424
0.867 0.867 0.005
```

***

*x*
Entry from Alexandria via LeMat-Bulk: an optimized crystal structure of La4PrDy7 (PBE).

As for the theoretical density: 7.55 Mg/m³. The density of states at the Fermi level comes out at 15.99 states/eV per cell. The space group is P-3m1, No. 164.

POSCAR file:
```
La4PrDy7
1.0
3.632 0.000 0.000
-1.816 3.145 0.000
0.000 0.000 35.295
La Pr Dy
4 1 7
direct
0.333 0.667 0.167
0.333 0.667 0.416
0.667 0.333 0.584
0.667 0.333 0.833
0.000 0.000 0.000
0.000 0.000 0.251
0.000 0.000 0.500
0.000 0.000 0.749
0.333 0.667 0.668
0.333 0.667 0.917
0.667 0.333 0.083
0.667 0.333 0.332
```

***

Sorted by energy, starting with the most stable: *x*, *w*.

***

*w*
Entry from Alexandria via LeMat-Bulk: an optimized crystal structure of LaPr4Dy7 (PBE).

As for the theoretical density: 7.32 Mg/m³. The density of states at the Fermi level comes out at 19.50 states/eV per cell. The space group is C2/m, No. 12.

POSCAR file:
```
LaPr4Dy7
1.0
6.119 -2.991 0.000
6.119 2.991 0.000
-6.042 0.000 11.398
La Pr Dy
1 4 7
direct
0.000 0.000 0.000
0.232 0.232 0.672
0.367 0.367 0.223
0.633 0.633 0.777
0.768 0.768 0.328
0.066 0.066 0.322
0.210 0.210 0.923
0.367 0.367 0.502
0.500 0.500 0.000
0.633 0.633 0.498
0.790 0.790 0.077
0.934 0.934 0.678
```

***

*x*
Entry from Alexandria via LeMat-Bulk: an optimized crystal structure of LaPr4Dy7 (PBE).

As for the theoretical density: 7.61 Mg/m³. The density of states at the Fermi level comes out at 16.47 states/eV per cell. The space group is P-1, No. 2.

POSCAR file:
```
LaPr4Dy7
1.0
7.220 0.000 0.000
1.744 7.888 0.000
3.595 1.642 7.046
La Pr Dy
1 4 7
direct
0.000 0.000 0.000
0.166 0.668 0.335
0.417 0.667 0.831
0.583 0.333 0.169
0.834 0.332 0.665
0.083 0.333 0.166
0.251 0.001 0.498
0.334 0.332 0.667
0.500 0.000 0.000
0.666 0.668 0.333
0.749 0.999 0.502
0.917 0.667 0.834
```

***

Sorted by energy, starting with the most stable: *x*, *w*.

***

*w*
Entry from Alexandria via LeMat-Bulk: an optimized crystal structure of La5Pr2Dy4 (PBE).

As for the theoretical density: 6.75 Mg/m³. The density of states at the Fermi level comes out at 16.19 states/eV per cell. The space group is Immm, No. 71.

POSCAR file:
```
La5Pr2Dy4
1.0
-1.792 4.681 11.925
1.792 -4.681 11.925
1.792 4.681 -11.925
La Pr Dy
5 2 4
direct
0.000 0.000 0.000
0.055 0.356 0.699
0.343 0.644 0.699
0.657 0.356 0.301
0.945 0.644 0.301
0.268 0.768 0.500
0.732 0.232 0.500
0.315 0.500 0.815
0.404 0.904 0.500
0.596 0.096 0.500
0.685 0.500 0.185
```

***

*x*
Entry from Alexandria via LeMat-Bulk: an optimized crystal structure of La5Pr2Dy4 (PBE).

As for the theoretical density: 6.87 Mg/m³. The density of states at the Fermi level comes out at 17.49 states/eV per cell. The space group is C2/m, No. 12.

POSCAR file:
```
La5Pr2Dy4
1.0
9.165 -1.814 0.000
9.165 1.814 0.000
-3.689 0.000 11.823
La Pr Dy
5 2 4
direct
0.000 0.000 0.000
0.334 0.334 0.989
0.385 0.385 0.483
0.615 0.615 0.517
0.666 0.666 0.011
0.175 0.175 0.288
0.825 0.825 0.712
0.170 0.170 0.769
0.496 0.496 0.250
0.504 0.504 0.750
0.830 0.830 0.231
```

***

Sorted by energy, starting with the most stable: *x*, *w*.

***

*w*
Entry from Alexandria via LeMat-Bulk: an optimized crystal structure of LaPr2Dy3 (PBE).

As for the theoretical density: 7.26 Mg/m³. The density of states at the Fermi level comes out at 18.98 states/eV per cell. The space group is C2/m, No. 12.

POSCAR file:
```
LaPr2Dy3
1.0
11.733 -1.777 0.000
11.733 1.777 0.000
-3.404 0.000 9.969
La Pr Dy
2 4 6
direct
0.187 0.187 0.035
0.813 0.813 0.965
0.190 0.190 0.371
0.435 0.435 0.857
0.565 0.565 0.143
0.810 0.810 0.629
0.060 0.060 0.450
0.196 0.196 0.716
0.431 0.431 0.243
0.569 0.569 0.757
0.804 0.804 0.284
0.940 0.940 0.550
```

***

*x*
Entry from Alexandria via LeMat-Bulk: an optimized crystal structure of LaPr2Dy3 (PBE).

As for the theoretical density: 7.39 Mg/m³. The density of states at the Fermi level comes out at 19.02 states/eV per cell. The space group is C2/m, No. 12.

POSCAR file:
```
LaPr2Dy3
1.0
7.715 -2.576 0.000
7.715 2.576 0.000
-5.143 0.000 10.273
La Pr Dy
2 4 6
direct
0.126 0.126 0.130
0.874 0.874 0.870
0.206 0.206 0.869
0.459 0.459 0.129
0.541 0.541 0.871
0.794 0.794 0.131
0.043 0.043 0.381
0.289 0.289 0.618
0.377 0.377 0.382
0.623 0.623 0.618
0.711 0.711 0.382
0.957 0.957 0.619
```

***

Sorted by energy, starting with the most stable: *x*, *w*.

***

*w*
Entry from Alexandria via LeMat-Bulk: an optimized crystal structure of LaPr3Dy4 (PBE).

As for the theoretical density: 7.37 Mg/m³. The density of states at the Fermi level comes out at 12.75 states/eV per cell. The space group is Immm, No. 71.

POSCAR file:
```
LaPr3Dy4
1.0
-1.736 5.893 6.672
1.736 -5.893 6.672
1.736 5.893 -6.672
La Pr Dy
1 3 4
direct
0.000 0.000 0.000
0.242 0.742 0.500
0.500 0.500 0.000
0.758 0.258 0.500
0.116 0.865 0.251
0.386 0.135 0.251
0.614 0.865 0.749
0.884 0.135 0.749
```

***

*x*
Entry from Alexandria via LeMat-Bulk: an optimized crystal structure of LaPr3Dy4 (PBE).

As for the theoretical density: 7.35 Mg/m³. The density of states at the Fermi level comes out at 28.93 states/eV per cell. The space group is Pmn2_1, No. 31.

POSCAR file:
```
LaPr3Dy4
1.0
11.714 0.000 0.000
0.000 7.365 0.000
0.000 0.000 6.350
La Pr Dy
2 6 8
direct
0.000 0.127 0.000
0.500 0.873 0.500
0.000 0.872 0.500
0.250 0.129 0.336
0.250 0.871 0.836
0.500 0.128 0.000
0.750 0.129 0.336
0.750 0.871 0.836
0.000 0.381 0.502
0.000 0.621 0.002
0.249 0.621 0.334
0.251 0.379 0.834
0.500 0.379 0.502
0.500 0.619 0.002
0.749 0.379 0.834
0.751 0.621 0.334
```

***

Sorted by energy, starting with the most stable: *x*, *w*.